(1)
Below is Er6InRh2 after structural relaxation, with properties calculated at the PBE-GGA level.

CIF file:
```
data_Er6InRh2
_cell_length_a 8.4231
_cell_length_b 8.4231
_cell_length_c 8.4231
_cell_angle_alpha 104.44
_cell_angle_beta 111.13
_cell_angle_gamma 112.96
_space_group_name_H-M_alt 'P 1'
_space_group_IT_number 1
loop_
_space_group_symop_operation_xyz
'x,y,z'
loop_
_atom_site_label
_atom_site_fract_x
_atom_site_fract_y
_atom_site_fract_z
Er1 0.8937 0.7113 0.1824
Rh1 0.5000 0.3669 0.8669
Er2 0.7973 0.2382 0.0355
Rh2 0.3338 0.0000 0.3338
Er3 0.3064 0.6352 0.3288
Er4 0.1063 0.2887 0.8176
Er5 0.6936 0.0224 0.3288
Er6 0.5289 0.7113 0.8176
In1 0.0000 0.5000 0.5000
Er7 0.4711 0.2887 0.1824
Er8 0.2027 0.7618 0.9645
Er9 0.6936 0.3648 0.6712
Rh3 0.5000 0.6331 0.1331
Er10 0.3064 0.9776 0.6712
In2 0.0000 0.0000 0.0000
Er11 0.2027 0.2382 0.4409
Rh4 0.6662 0.0000 0.6662
Er12 0.7973 0.7618 0.5591
```

***

(2)
Below is CrNi2Rh after structural relaxation, with properties calculated at the PBE-GGA level.

CIF file:
```
data_CrNi2Rh
_cell_length_a 4.4917
_cell_length_b 4.1528
_cell_length_c 4.1528
_cell_angle_alpha 60.00
_cell_angle_beta 90.00
_cell_angle_gamma 90.00
_space_group_name_H-M_alt 'P 1'
_space_group_IT_number 1
loop_
_space_group_symop_operation_xyz
'x,y,z'
loop_
_atom_site_label
_atom_site_fract_x
_atom_site_fract_y
_atom_site_fract_z
Ni1 0.5000 0.3333 0.3333
Ni2 0.5000 0.0000 0.0000
Cr1 0.5000 0.6667 0.6667
Rh1 0.0000 0.0000 0.0000
```

***

Number 1: DOS(E_F) 15.686 states/eV per cell, E_tot -5.583 eV per atom, calculated formation energy -0.60 eV/atom. Number 2: DOS(E_F) 8.234 states/eV per cell, E_tot -6.069 eV per atom, calculated formation energy 1.07 eV/atom.